VASP calculation (PBE-GGA) on an optimized crystal structure of CeInNi.

POSCAR file:
```
CeInNi
1.0
13.1381 0.0000 0.0000
0.0000 3.8409 0.0000
0.0000 0.0000 7.5892
Ce In Ni
6 6 6
Cartesian
0.5718 0.0000 1.6906
3.2845 0.0000 6.4979
5.9972 0.0000 1.6906
7.1409 0.0000 5.8986
9.8536 0.0000 1.0913
12.5663 0.0000 5.8986
1.6029 1.9204 4.3128
3.2845 1.9204 1.5000
4.9661 1.9204 4.3128
8.1720 1.9204 3.2764
9.8536 1.9204 6.0892
11.5352 1.9204 3.2764
1.2376 1.9204 7.1154
3.2845 0.0000 3.3991
5.3315 1.9204 7.1154
7.8067 1.9204 0.4738
9.8536 0.0000 4.1901
11.9005 1.9204 0.4738
```

Energy relative to the elements: -0.431 eV/atom
Final energy: -5.249 eV/atom
Symmetry: Pmma


VASP calculation (PBE-GGA) on an optimized crystal structure of Er12Tl3Pb.

POSCAR file:
```
Er12Tl3Pb
1.0
4.8099 0.0000 0.0000
0.0000 4.8099 0.0000
0.0000 0.0000 19.2679
Er Tl Pb
12 3 1
Cartesian
0.0000 0.0000 0.0000
0.0000 0.0000 4.8223
0.0000 0.0000 9.6339
0.0000 0.0000 14.4456
0.0000 2.4049 2.4130
0.0000 2.4049 7.2235
0.0000 2.4049 12.0444
0.0000 2.4049 16.8549
2.4049 0.0000 2.4130
2.4049 0.0000 7.2235
2.4049 0.0000 12.0444
2.4049 0.0000 16.8549
2.4049 2.4049 0.0000
2.4049 2.4049 4.7983
2.4049 2.4049 14.4696
2.4049 2.4049 9.6339
```

Energy relative to the elements: -0.190 eV/atom
Final energy: -4.287 eV/atom
Symmetry: P4/mmm


VASP calculation (PBE-GGA) on an optimized crystal structure of Tm8Co2Au.

POSCAR file:
```
Tm8Co2Au
1.0
4.1691 -6.3000 0.0000
4.1691 6.3000 0.0000
-1.3888 0.0000 5.1710
Tm Co Au
8 2 1
Cartesian
0.8564 1.6542 3.0287
4.1691 3.2976 0.0000
0.8564 -1.6542 3.0287
2.8618 0.0000 0.9901
4.0876 0.0000 4.1810
6.0930 1.6542 2.1424
4.1691 -3.2976 0.0000
6.0930 -1.6542 2.1424
3.4747 2.4258 2.5855
3.4747 -2.4258 2.5855
0.0000 0.0000 0.0000
```

Energy relative to the elements: -0.201 eV/atom
Final energy: -5.043 eV/atom
Symmetry: C2/m


VASP calculation (PBE-GGA) on an optimized crystal structure of VCd2As2.

POSCAR file:
```
VCd2As2
1.0
6.4585 0.0000 0.0000
0.0000 6.4585 0.0000
0.0000 0.0000 4.9729
V Cd As
2 4 4
Cartesian
0.0000 0.0000 0.0000
3.2292 3.2292 0.0000
1.4012 1.8281 2.4865
1.8281 5.0573 2.4865
4.6304 1.4012 2.4865
5.0573 4.6304 2.4865
0.8837 4.1130 0.0000
2.3455 0.8837 0.0000
4.1130 5.5747 0.0000
5.5747 2.3455 0.0000
```

Energy relative to the elements: 0.080 eV/atom
Final energy: -3.970 eV/atom
Symmetry: P4/mbm


VASP calculation (PBE-GGA) on an optimized crystal structure of LaSi3.

POSCAR file:
```
LaSi3
1.0
5.4754 0.0000 0.0000
0.0000 5.4754 0.0000
0.0000 0.0000 5.4754
La Si
2 6
Cartesian
0.0000 0.0000 0.0000
2.7377 2.7377 2.7377
0.0000 1.3688 2.7377
0.0000 4.1065 2.7377
1.3688 2.7377 0.0000
2.7377 0.0000 1.3688
2.7377 0.0000 4.1065
4.1065 2.7377 0.0000
```

Final energy: -5.196 eV/atom
Symmetry: Pm-3n
Formation energy (no corrections): 0.10 eV per atom


VASP calculation (PBE-GGA) on an optimized crystal structure of CaSb2Pb2.

POSCAR file:
```
CaSb2Pb2
1.0
8.7344 0.0000 0.0000
0.0000 8.7344 0.0000
0.0000 0.0000 4.1080
Ca Sb Pb
2 4 4
Cartesian
0.0000 0.0000 0.0000
4.3672 4.3672 0.0000
1.5348 2.8323 2.0540
2.8323 7.1995 2.0540
5.9020 1.5348 2.0540
7.1995 5.9020 2.0540
1.1353 5.5024 0.0000
3.2319 1.1353 0.0000
5.5024 7.5991 0.0000
7.5991 3.2319 0.0000
```

Final energy: -3.671 eV/atom
Symmetry: P4/mbm
Formation energy (no corrections): -0.14 eV per atom